# 1
BaCa2Al: optimized geometry, PBE-GGA.

raw total energy	-9.28	eV per cell
SG	R3m, No. 160

Unit cell a=12.096 b=12.096 c=12.096 alpha=18.73 beta=18.73 gamma=18.73
Atoms (fractional coordinates):
Ba1 0.765 0.765 0.765
Ca1 0.236 0.236 0.236
Ca2 0.995 0.995 0.995
Al1 0.504 0.504 0.504

---

# 2
NaGa2AgS4: optimized geometry, PBE-GGA.

uncorrected formation energy	-0.69	eV per atom
SG	I-42m, No. 121

Unit cell a=7.429 b=7.429 c=7.429 alpha=137.98 beta=137.98 gamma=60.94
Atoms (fractional coordinates):
S1 0.387 0.901 0.000
S2 0.901 0.387 0.000
S3 0.099 0.099 0.486
S4 0.613 0.613 0.514
Na1 0.500 0.500 0.000
Ga1 0.750 0.250 0.500
Ga2 0.250 0.750 0.500
Ag1 0.000 0.000 0.000